No. 1
AcLaSn: optimized geometry, GGA-PBE.

a b c (Å): 6.4802 3.6671 9.6784
angles (deg): 79.08 90.00 90.00
Last column: nearest neighbours and their distance in Å.
Positions (direct):
La 0.7500 0.6713 0.6574  1 Sn 3.23
La 0.2500 0.3287 0.3426  1 Sn 3.23
Ac 0.5000 0.0000 0.0000  2 Ac 3.24, 2 Sn 3.42
Ac 0.0000 0.0000 0.0000  2 Ac 3.24, 2 Sn 3.42
Sn 0.7500 0.8413 0.3175  1 La 3.23, 2 Ac 3.42
Sn 0.2500 0.1587 0.6825  1 La 3.23, 2 Ac 3.42

Properties
M_tot   0.00 μB/f.u.
Excess energy over the best structure of this formula in the dataset   455 meV/atom
Fermi-level density of states   1.27 states/eV per atom
Symmetry   Cmcm

---

No. 2
Hf2TlAg: optimized geometry, GGA-PBE.

a b c (Å): 3.1106 3.1106 8.6621
angles (deg): 90.00 90.00 90.00
Last column: nearest neighbours and their distance in Å.
Positions (direct):
Tl 0.5000 0.5000 0.5000  4 Tl 3.11, 8 Hf 3.17
Hf 0.0000 0.0000 0.7631  4 Ag 3.01, 4 Hf 3.11, 4 Tl 3.17
Hf 0.0000 0.0000 0.2369  4 Ag 3.01, 4 Hf 3.11, 4 Tl 3.17
Ag 0.5000 0.5000 0.0000  8 Hf 3.01, 4 Ag 3.11

Properties
M_tot   0.00 μB/f.u.
Fermi-level density of states   0.97 states/eV per atom
Symmetry   P4/mmm

---

no.,V (Å³ per atom),VASP energy (eV per atom)
1,37.6,-4.493
2,21.0,-6.183